[1]
First-principles (PBEsol) data for CaMgCd2Cl after structural relaxation, as listed in Alexandria via LeMat-Bulk.

Unit cell a=5.6119 b=5.6119 c=4.9933 alpha=90.00 beta=90.00 gamma=90.00
Last column: nearest neighbours and their distance in Å.
Space group P4/mmm (No. 123)
Unique sites:
Ca: 0.0000 0.0000 0.0000  2 Cl 2.50
Mg: 0.5000 0.5000 0.0000  8 Cd 3.76, 4 Ca 3.97
Cd: 0.0000 0.5000 0.5000  2 Cl 2.81
Cl: 0.0000 0.0000 0.5000  2 Ca 2.50

Calculated values
Crystal system   tetragonal
Electronic total energy   -1.76 eV/atom
ρ   3.43 g cm⁻³



[2]
First-principles (PBEsol) data for CaCd2SnCl after structural relaxation, as listed in Alexandria via LeMat-Bulk.

Unit cell a=5.2970 b=5.2970 c=5.0346 alpha=90.00 beta=90.00 gamma=90.00
Last column: nearest neighbours and their distance in Å.
Space group P4/mmm (No. 123)
Unique sites:
Ca: 0.0000 0.0000 0.0000  2 Cl 2.52
Cd: 0.0000 0.5000 0.5000  2 Cl 2.65
Sn: 0.5000 0.5000 0.0000  8 Cd 3.65, 4 Ca 3.75
Cl: 0.0000 0.0000 0.5000  2 Ca 2.52, 4 Cd 2.65

Calculated values
Crystal system   tetragonal
Electronic total energy   -2.31 eV/atom
ρ   4.93 g cm⁻³



[3]
First-principles (PBEsol) data for CaCdWCl2 after structural relaxation, as listed in Alexandria via LeMat-Bulk.

Unit cell a=4.6122 b=4.6122 c=6.1333 alpha=90.00 beta=90.00 gamma=90.00
Last column: nearest neighbours and their distance in Å.
Space group P4/mmm (No. 123)
Unique sites:
Ca: 0.0000 0.0000 0.0000  2 W 3.07, 4 Cd 3.26
Cd: 0.5000 0.5000 0.0000  4 Ca 3.26
W: 0.0000 0.0000 0.5000  4 Cl 2.31
Cl: 0.0000 0.5000 0.5000  2 W 2.31

Calculated values
Crystal system   tetragonal
Electronic total energy   -4.05 eV/atom
ρ   5.18 g cm⁻³



[4]
First-principles (PBEsol) data for Ca2CdCoN after structural relaxation, as listed in Alexandria via LeMat-Bulk.

Unit cell a=5.0641 b=5.0641 c=3.5315 alpha=90.00 beta=90.00 gamma=90.00
Last column: nearest neighbours and their distance in Å.
Space group P4/mmm (No. 123)
Unique sites:
Ca: 0.0000 0.5000 0.0000  2 N 2.53
Cd: 0.0000 0.0000 0.5000  8 Ca 3.09
Co: 0.5000 0.5000 0.5000  2 N 1.77
N: 0.5000 0.5000 0.0000  2 Co 1.77

Calculated values
Crystal system   tetragonal
Electronic total energy   -4.89 eV/atom
ρ   4.87 g cm⁻³



[5]
First-principles (PBEsol) data for CaCdCo2Ru after structural relaxation, as listed in Alexandria via LeMat-Bulk.

Unit cell a=4.6474 b=4.6474 c=4.9173 alpha=90.00 beta=90.00 gamma=90.00
Last column: nearest neighbours and their distance in Å.
Space group P4/mmm (No. 123)
Unique sites:
Ca: 0.0000 0.0000 0.0000  4 Ru 3.29, 8 Co 3.38
Cd: 0.5000 0.5000 0.5000  4 Co 2.32, 2 Ru 2.46
Co: 0.0000 0.5000 0.5000  2 Cd 2.32
Ru: 0.5000 0.5000 0.0000  2 Cd 2.46

Calculated values
Crystal system   tetragonal
Electronic total energy   -4.34 eV/atom
ρ   5.81 g cm⁻³
Formation energy from the elements   1.459 eV/atom



[6]
First-principles (PBEsol) data for Ca2CrCd after structural relaxation, as listed in Alexandria via LeMat-Bulk.

Unit cell a=3.6529 b=3.6529 c=8.1412 alpha=90.00 beta=90.00 gamma=90.00
Last column: nearest neighbours and their distance in Å.
Space group P4mm (No. 99)
Unique sites:
Ca: 0.0000 0.0000 0.0000  1 Cd 3.23, 4 Cr 3.27
Ca: 0.5000 0.5000 0.3595  1 Cr 3.22, 4 Cd 3.26
Cr: 0.5000 0.5000 0.7546  4 Cd 2.86
Cd: 0.0000 0.0000 0.6038  4 Cr 2.86

Calculated values
Crystal system   tetragonal
Electronic total energy   -3.65 eV/atom
ρ   3.74 g cm⁻³
Formation energy from the elements   0.279 eV/atom



[7]
First-principles (PBEsol) data for CaCr2Cd after structural relaxation, as listed in Alexandria via LeMat-Bulk.

Unit cell a=3.6810 b=3.8178 c=9.3223 alpha=90.00 beta=90.00 gamma=90.00
Last column: nearest neighbours and their distance in Å.
Space group Cmmm (No. 65)
Unique sites:
Ca: 0.0000 0.0000 0.0000  4 Ca 2.65
Cr: 0.0000 0.5000 0.2672  4 Cr 2.65, 4 Cd 2.85-2.89
Cd: 0.0000 0.0000 0.5000  4 Cd 2.65, 8 Cr 2.85-2.89

Calculated values
Crystal system   orthorhombic
Electronic total energy   -4.94 eV/atom
ρ   6.50 g cm⁻³
Formation energy from the elements   1.011 eV/atom



[8]
First-principles (PBEsol) data for Ca2CrCd after structural relaxation, as listed in Alexandria via LeMat-Bulk.

Unit cell a=3.5748 b=3.5748 c=29.9114 alpha=90.00 beta=90.00 gamma=120.00
Last column: nearest neighbours and their distance in Å.
Space group R-3m (No. 166, hexagonal axes)
Unique sites:
Ca: 0.0000 0.0000 0.2486  3 Cr 3.20, 3 Cd 3.27, 6 Ca 3.57
Cr: 0.0000 0.0000 0.5000  6 Ca 3.20, 6 Cr 3.57
Cd: 0.0000 0.0000 0.0000  6 Ca 3.27, 6 Cd 3.57

Calculated values
Crystal system   trigonal
Electronic total energy   -3.44 eV/atom
ρ   3.68 g cm⁻³
Formation energy from the elements   0.491 eV/atom



[9]
First-principles (PBEsol) data for Ca2CrCd after structural relaxation, as listed in Alexandria via LeMat-Bulk.

Unit cell a=11.5084 b=3.5978 c=5.4314 alpha=90.00 beta=109.94 gamma=90.00
Last column: nearest neighbours and their distance in Å.
Space group Cm (No. 8)
Unique sites:
Ca: 0.0000 0.0000 0.0000  4 Cr 3.27-3.34, 3 Cd 3.30-3.35, 4 Ca 3.49-3.60
Ca: 0.2084 0.0000 0.6590  4 Cd 3.26-3.33, 3 Cr 3.32-3.33, 4 Ca 3.49-3.60
Cr: 0.4497 0.0000 0.4556  2 Cd 2.84
Cd: 0.2554 0.5000 0.2002  2 Cr 2.84

Calculated values
Crystal system   monoclinic
Electronic total energy   -3.65 eV/atom
ρ   3.84 g cm⁻³
Formation energy from the elements   0.277 eV/atom



[10]
First-principles (PBEsol) data for CsK2CaCd after structural relaxation, as listed in Alexandria via LeMat-Bulk.

Unit cell a=7.3998 b=7.3998 c=6.0844 alpha=90.00 beta=90.00 gamma=90.00
Last column: nearest neighbours and their distance in Å.
Space group P4/mmm (No. 123)
Unique sites:
Cs: 0.0000 0.0000 0.0000  8 K 4.79, 4 Cd 5.23
K: 0.0000 0.5000 0.5000  2 Ca 3.70
Ca: 0.5000 0.5000 0.5000  2 Cd 3.04
Cd: 0.5000 0.5000 0.0000  2 Ca 3.04

Calculated values
Crystal system   tetragonal
Electronic total energy   -1.01 eV/atom
ρ   1.81 g cm⁻³
Formation energy from the elements   0.294 eV/atom



[11]
First-principles (PBEsol) data for CaCdCu2 after structural relaxation, as listed in Alexandria via LeMat-Bulk.

Unit cell a=4.4343 b=4.4343 c=3.7083 alpha=90.00 beta=90.00 gamma=90.00
Last column: nearest neighbours and their distance in Å.
Space group P4/mmm (No. 123)
Unique sites:
Ca: 0.0000 0.0000 0.0000  8 Cu 2.89, 4 Cd 3.14
Cd: 0.5000 0.5000 0.0000  8 Cu 2.89, 4 Ca 3.14
Cu: 0.0000 0.5000 0.5000  4 Cd 2.89, 4 Ca 2.89, 4 Cu 3.14

Calculated values
Crystal system   tetragonal
Electronic total energy   -2.91 eV/atom
ρ   6.37 g cm⁻³
Formation energy from the elements   0.086 eV/atom



[12]
First-principles (PBEsol) data for CaCd2Cu2 after structural relaxation, as listed in Alexandria via LeMat-Bulk.

Unit cell a=4.1864 b=4.1864 c=11.3012 alpha=90.00 beta=90.00 gamma=90.00
Last column: nearest neighbours and their distance in Å.
Space group I4/mmm (No. 139)
Unique sites:
Ca: 0.0000 0.0000 0.0000  8 Cu 3.18, 8 Cd 3.52
Cd: 0.0000 0.5000 0.2500  4 Cu 2.67, 4 Cd 2.96
Cu: 0.0000 0.0000 0.3973  1 Cu 2.32

Calculated values
Crystal system   tetragonal
Electronic total energy   -2.73 eV/atom
ρ   6.57 g cm⁻³
Formation energy from the elements   -0.096 eV/atom



[13]
First-principles (PBEsol) data for Ca3CdCu after structural relaxation, as listed in Alexandria via LeMat-Bulk.

Unit cell a=5.7363 b=5.7363 c=5.7363 alpha=90.00 beta=90.00 gamma=90.00
Last column: nearest neighbours and their distance in Å.
Space group Pm-3m (No. 221)
Unique sites:
Ca: 0.0000 0.0000 0.5000  2 Cd 2.87
Cd: 0.0000 0.0000 0.0000  6 Ca 2.87
Cu: 0.5000 0.5000 0.5000  12 Ca 4.06

Calculated values
Crystal system   cubic
Electronic total energy   -1.95 eV/atom
ρ   2.61 g cm⁻³
Formation energy from the elements   0.432 eV/atom



[14]
First-principles (PBEsol) data for CaCdCu2 after structural relaxation, as listed in Alexandria via LeMat-Bulk.

Unit cell a=4.4230 b=4.4230 c=13.9990 alpha=90.00 beta=90.00 gamma=120.00
Last column: nearest neighbours and their distance in Å.
Space group R-3m (No. 166, hexagonal axes)
Unique sites:
Ca: 0.0000 0.0000 0.0000  2 Cu 2.80
Cd: 0.0000 0.0000 0.5000  6 Cu 2.60
Cu: 0.0000 0.0000 0.2000  3 Cd 2.60, 3 Cu 2.72, 1 Ca 2.80

Calculated values
Crystal system   trigonal
Electronic total energy   -3.07 eV/atom
ρ   5.87 g cm⁻³
Formation energy from the elements   -0.071 eV/atom